VASP calculation (GGA-PBE) on NbHg3F after structural relaxation.

The energy above the most stable polymorph in this dataset is 0.078 eV per atom. As for the total energy: -2.113 eV/atom. The calculated volume is 35.3 Å³/atom. Its formation energy without anion corrections is 456 meV/atom.

abc: 5.612 5.612 5.612
angles: 90.00 90.00 90.00
Positions (direct):
Hg 0.500 0.000 0.000
F 0.500 0.500 0.500
Hg 0.000 0.500 0.000
Nb 0.000 0.000 0.000
Hg 0.000 0.000 0.500



VASP calculation (GGA-PBE) on ZnCu2Si2 after structural relaxation.

The energy above the most stable polymorph in this dataset is 0.018 eV per atom. As for the total energy: -3.884 eV/atom. The calculated volume is 14.3 Å³/atom. Its formation energy without anion corrections is 178 meV/atom.

abc: 7.592 7.592 2.489
angles: 90.00 90.00 90.00
Positions (direct):
Cu 0.661 0.839 0.500
Cu 0.339 0.161 0.500
Zn 0.000 0.000 0.000
Si 0.364 0.864 0.000
Zn 0.500 0.500 0.000
Si 0.136 0.364 0.000
Si 0.864 0.636 0.000
Si 0.636 0.136 0.000
Cu 0.839 0.339 0.500
Cu 0.161 0.661 0.500



VASP calculation (GGA-PBE) on PuBeHO5 after structural relaxation.

As for the total energy: -7.828 eV/atom. The calculated volume is 12.5 Å³/atom.

abc: 5.337 5.337 8.422
angles: 113.35 113.35 87.47
Positions (direct):
Be 0.364 0.636 0.750
Be 0.636 0.364 0.250
O 0.301 0.297 0.151
O 0.876 0.124 0.750
Pu 0.000 0.000 0.000
H 0.257 0.743 0.250
O 0.234 0.763 0.590
O 0.703 0.699 0.349
O 0.297 0.301 0.651
O 0.763 0.234 0.090
O 0.699 0.703 0.849
O 0.124 0.876 0.250
O 0.237 0.766 0.910
O 0.766 0.237 0.410
Pu 0.000 0.000 0.500
H 0.743 0.257 0.750



VASP calculation (GGA-PBE) on Ac2PmSn3Pd6 after structural relaxation.

For the formation energy, the calculation gives -0.5455 eV per atom. As for the total energy: -5.223 eV/atom. The calculated volume is 26.6 Å³/atom.

abc: 4.254 4.254 17.654
angles: 90.00 90.00 90.00
Positions (direct):
Pd 0.000 0.500 0.615
Sn 0.000 0.000 0.000
Ac 0.500 0.500 0.820
Pd 0.000 0.000 0.855
Sn 0.000 0.000 0.704
Sn 0.000 0.000 0.296
Pd 0.000 0.500 0.385
Pm 0.500 0.500 0.500
Pd 0.500 0.000 0.385
Pd 0.000 0.000 0.145
Pd 0.500 0.000 0.615
Ac 0.500 0.500 0.180



Q: calculated volume of number 4 (Ac2PmSn3Pd6)?
A: 26.6 Å³/atom



Q: Among the records above, which one has the lowest calculated volume?
A: PuBeHO5



Q: Among the records above, which one has the lowest calculated volume?
A: PuBeHO5



Q: Look up the calculated volume of the fourth one.
A: 26.6 Å³/atom